# 1
# La2CeThTe5 PBE optimized geometry
# Uncorrected energy in eV per atom: -5.055
# Total moment in μB/f.u.: 3.092
# DOS(E_F) in states/eV per cell: 10.93
data_La2CeThTe5
_chemical_formula_sum 'La2 Ce1 Th1 Te5'
_symmetry_space_group_name_H-M 'P 4/m m m'
_symmetry_Int_Tables_number 123
_symmetry_space_group_name_Hall '-P 4 2'
_cell_length_a 5.624
_cell_length_b 5.624
_cell_length_c 11.927
_cell_angle_alpha 90.00
_cell_angle_beta 90.00
_cell_angle_gamma 90.00
loop_
_atom_site_label
_atom_site_type_symbol
_atom_site_fract_x
_atom_site_fract_y
_atom_site_fract_z
La1 La 0.000 0.000 0.160
Ce1 Ce 0.500 0.500 0.000
Th1 Th 0.500 0.500 0.500
Te1 Te 0.000 0.000 0.500
Te2 Te 0.000 0.500 0.000
Te3 Te 0.500 0.500 0.255

=====

# 2
# La2CeTh3Te6 PBE optimized geometry
# Uncorrected energy in eV per atom: -6.001
# Total moment in μB/f.u.: 1.014
# DOS(E_F) in states/eV per cell: 31.19
data_La2CeTh3Te6
_chemical_formula_sum 'La4 Ce2 Th6 Te12'
_symmetry_space_group_name_H-M 'C 1 2/m 1'
_symmetry_Int_Tables_number 12
_cell_length_a 19.731
_cell_length_b 4.515
_cell_length_c 8.991
_cell_angle_alpha 90.00
_cell_angle_beta 104.33
_cell_angle_gamma 90.00
loop_
_symmetry_equiv_pos_as_xyz
'x,y,z'
'-x,-y,-z'
'-x,y,-z'
'x,-y,z'
'x+1/2,y+1/2,z'
'-x+1/2,-y+1/2,-z'
'-x+1/2,y+1/2,-z'
'x+1/2,-y+1/2,z'
loop_
_atom_site_label
_atom_site_type_symbol
_atom_site_fract_x
_atom_site_fract_y
_atom_site_fract_z
La1 La 0.165 0.000 0.335
Ce1 Ce 0.000 0.500 0.000
Th1 Th 0.000 0.500 0.500
Th2 Th 0.169 0.000 0.839
Te1 Te 0.002 0.000 0.752
Te2 Te 0.165 0.500 0.084
Te3 Te 0.166 0.500 0.589

=====

# 3
# La2CeTl3Te6 PBE optimized geometry
# Uncorrected energy in eV per atom: -4.581
# Total moment in μB/f.u.: 1.001
# DOS(E_F) in states/eV per cell: 17.16
data_La2CeTl3Te6
_chemical_formula_sum 'La4 Ce2 Tl6 Te12'
_symmetry_space_group_name_H-M 'C 1 2/m 1'
_symmetry_Int_Tables_number 12
_cell_length_a 8.055
_cell_length_b 13.951
_cell_length_c 8.576
_cell_angle_alpha 90.00
_cell_angle_beta 108.25
_cell_angle_gamma 90.00
loop_
_symmetry_equiv_pos_as_xyz
'x,y,z'
'-x,-y,-z'
'-x,y,-z'
'x,-y,z'
'x+1/2,y+1/2,z'
'-x+1/2,-y+1/2,-z'
'-x+1/2,y+1/2,-z'
'x+1/2,-y+1/2,z'
loop_
_atom_site_label
_atom_site_type_symbol
_atom_site_fract_x
_atom_site_fract_y
_atom_site_fract_z
La1 La 0.000 0.166 0.000
Ce1 Ce 0.000 0.500 0.000
Tl1 Tl 0.000 0.000 0.500
Tl2 Tl 0.000 0.332 0.500
Te1 Te 0.239 0.335 0.220
Te2 Te 0.244 0.000 0.222